# Zr12FeBi6 | the Alexandria database | PBE-GGA | relaxed
data_Zr12FeBi6
_symmetry_space_group_name_H-M 'R -3'
_symmetry_Int_Tables_number 148
_symmetry_space_group_name_Hall '-R 3'
_cell_length_a 12.4352
_cell_length_b 12.4352
_cell_length_c 11.0220
_cell_angle_alpha 90.00
_cell_angle_beta 90.00
_cell_angle_gamma 120.00
loop_
_atom_site_label
_atom_site_fract_x
_atom_site_fract_y
_atom_site_fract_z
Zr1 0.0268 0.1634 0.3779
Zr2 0.0710 0.1819 0.8710
Fe1 0.0000 0.0000 0.0000
Bi1 0.0351 0.4057 0.2982
# DOS(E_F): 22.23 states/eV/f.u.
# calculated formation energy: -36 meV/atom
# M_tot: 0.000 μB/atom


# MnCr | the Alexandria database | PBE-GGA | relaxed
data_MnCr
_symmetry_space_group_name_H-M 'C 1 2/m 1'
_symmetry_Int_Tables_number 12
_cell_length_a 8.4452
_cell_length_b 2.5230
_cell_length_c 4.3153
_cell_angle_alpha 90.00
_cell_angle_beta 100.52
_cell_angle_gamma 90.00
loop_
_symmetry_equiv_pos_as_xyz
'x,y,z'
'-x,-y,-z'
'-x,y,-z'
'x,-y,z'
'x+1/2,y+1/2,z'
'-x+1/2,-y+1/2,-z'
'-x+1/2,y+1/2,-z'
'x+1/2,-y+1/2,z'
loop_
_atom_site_label
_atom_site_fract_x
_atom_site_fract_y
_atom_site_fract_z
Mn1 0.1317 0.0000 0.3711
Cr1 0.1185 0.5000 0.8595
# DOS(E_F): 2.66 states/eV/f.u.
# calculated formation energy: 198 meV/atom
# M_tot: 0.004 μB/atom


# TbPmDy | the Alexandria database | PBE-GGA | relaxed
data_TbPmDy
_symmetry_space_group_name_H-M 'P -6 m 2'
_symmetry_Int_Tables_number 187
_symmetry_space_group_name_Hall 'P -6 2'
_cell_length_a 5.6577
_cell_length_b 5.6577
_cell_length_c 3.5076
_cell_angle_alpha 90.00
_cell_angle_beta 90.00
_cell_angle_gamma 120.00
loop_
_atom_site_label
_atom_site_fract_x
_atom_site_fract_y
_atom_site_fract_z
Tb1 0.0000 0.0000 0.0000
Pm1 0.3333 0.6667 0.5000
Dy1 0.6667 0.3333 0.5000
# DOS(E_F): 5.00 states/eV/f.u.
# calculated formation energy: 65 meV/atom
# energy above the lowest structure with this stoichiometry: 54 meV/atom
# M_tot: 0.000 μB/atom